[1]
24
Lattice="5.1398 -2.9731 0.0000 5.1398 2.9731 0.0000 -3.3436 0.0000 13.3224" Properties=species:S:1:pos:R:3 comment="Zr4Sb3W2C3 (PBE-GGA, relaxed)" total_magnetization_mub_per_atom=0.00 sg=C2/c dft_energy_ev_per_cell=-211.201 pbc="T T T"
C 2.5699 1.4865 0.0000
C 4.3177 -1.4275 0.0021
C 4.2900 -1.4275 6.6591
C 0.8981 -1.4865 6.6612
C 2.6459 1.4275 6.6633
C 2.6182 1.4275 13.3203
Sb 2.7007 -0.4309 3.3221
Sb 4.3039 2.3159 3.3306
Sb 5.9071 -0.4309 3.3392
Sb 1.0289 0.4309 9.9833
Sb 2.6321 -2.3159 9.9918
Sb 4.2353 0.4309 10.0004
W 4.2210 0.5301 0.9816
W 4.3867 0.5301 5.6796
W 2.5492 -0.5301 7.6428
W 2.7149 -0.5301 12.3408
Zr 7.7475 0.5173 1.2191
Zr 0.8589 0.4579 1.2194
Zr 7.7488 0.4579 5.4418
Zr 0.8602 0.5173 5.4421
Zr 6.0757 -0.5173 7.8803
Zr -0.8128 -0.4579 7.8806
Zr 6.0770 -0.4579 12.1030
Zr -0.8116 -0.5173 12.1033



[2]
8
Lattice="-2.6822 1.3913 -2.0429 -0.6468 -2.8782 2.1450 -3.7829 9.2435 11.2623" Properties=species:S:1:pos:R:3 comment="Y4ZnSbC2 (PBE-GGA, relaxed)" total_magnetization_mub_per_atom=0.14 sg=P-6m2 dft_energy_ev_per_cell=-53.234 pbc="T T T"
C -2.2578 0.8236 3.5254
C -4.1756 5.5098 9.2350
Sb -3.8952 4.5899 4.9842
Y -2.5943 1.4111 1.1112
Y -1.2645 3.0897 3.7645
Y -2.5184 6.1538 7.4977
Y -5.1961 7.7687 8.8572
Zn 0.0000 0.0000 0.0000



Please write out number 2 again, unchanged.
8
Lattice="-2.6822 1.3913 -2.0429 -0.6468 -2.8782 2.1450 -3.7829 9.2435 11.2623" Properties=species:S:1:pos:R:3 comment="Y4ZnSbC2 (PBE-GGA, relaxed)" total_magnetization_mub_per_atom=0.14 sg=P-6m2 dft_energy_ev_per_cell=-53.234 pbc="T T T"
C -2.2578 0.8236 3.5254
C -4.1756 5.5098 9.2350
Sb -3.8952 4.5899 4.9842
Y -2.5943 1.4111 1.1112
Y -1.2645 3.0897 3.7645
Y -2.5184 6.1538 7.4977
Y -5.1961 7.7687 8.8572
Zn 0.0000 0.0000 0.0000



Question: What is the formula in the first record?
Answer: Zr4Sb3W2C3



Question: Which formula does entry 2 have?
Answer: Y4ZnSbC2